(1)
Crystalline Ta2MnBeH at its relaxed geometry, computed with PBE.

Results
- Final energy: -39.93 eV/f.u.
- Symmetry: P4/mmm
- Crystal system: tetragonal

Cell: 4.1097 4.1097 3.4873 Å, 90.00 90.00 90.00°
With the nearest neighbours (Å) after each atom.
Positions (direct):
Ta: 0.0000 0.5000 0.0000  2 H 2.05
Ta: 0.5000 0.0000 0.0000  2 H 2.05
Mn: 0.0000 0.0000 0.5000  2 H 1.74
Be: 0.5000 0.5000 0.5000  8 Ta 2.69, 4 Mn 2.91
H: 0.0000 0.0000 0.0000  2 Mn 1.74

(2)
Crystalline Zn2TcPt at its relaxed geometry, computed with PBE.

Results
- Symmetry: Immm
- Crystal system: orthorhombic
- E above lowest polymorph: 90 meV/atom

Cell: 5.3024 5.3024 5.3024 Å, 150.05 125.89 63.08°
With the nearest neighbours (Å) after each atom.
Positions (direct):
Zn: 0.2459 0.2459 0.0000  2 Pt 2.61, 2 Tc 2.67, 6 Zn 2.74-2.77
Zn: 0.7541 0.7541 0.0000  2 Pt 2.61, 2 Tc 2.67, 6 Zn 2.74-2.77
Tc: 0.5000 0.0000 0.5000  4 Zn 2.67, 2 Tc 2.74, 4 Pt 2.77
Pt: 0.0000 0.5000 0.5000  4 Zn 2.61, 2 Pt 2.74, 4 Tc 2.77

(3)
Crystalline YZn2 at its relaxed geometry, computed with PBE.

Results
- Final energy: -9.76 eV/f.u.
- Symmetry: Cmmm
- Crystal system: orthorhombic

Cell: 7.3543 7.3543 3.8423 Å, 90.00 90.00 144.07°
With the nearest neighbours (Å) after each atom.
Positions (direct):
Y: 0.1632 0.8368 0.0000  8 Zn 2.98-3.22, 2 Y 3.32
Y: 0.8368 0.1632 0.0000  8 Zn 2.98-3.22, 2 Y 3.32
Zn: 0.0000 0.0000 0.5000  8 Zn 2.94-2.97, 4 Y 2.98
Zn: 0.3661 0.6339 0.5000  4 Zn 2.68-2.94, 4 Y 3.00
Zn: 0.5000 0.5000 0.0000  8 Zn 2.68-2.97
Zn: 0.6339 0.3661 0.5000  4 Zn 2.68-2.94, 4 Y 3.00

(4)
Crystalline Sc2NbCuH at its relaxed geometry, computed with PBE.

Results
- Final energy: -30.60 eV/f.u.
- Symmetry: P4/mmm
- Crystal system: tetragonal

Cell: 4.4520 4.4520 3.9069 Å, 90.00 90.00 90.00°
With the nearest neighbours (Å) after each atom.
Positions (direct):
Sc: 0.0000 0.5000 0.0000  2 H 2.23
Sc: 0.5000 0.0000 0.0000  2 H 2.23
Nb: 0.0000 0.0000 0.5000  2 H 1.95
Cu: 0.5000 0.5000 0.5000  8 Sc 2.96, 4 Nb 3.15
H: 0.0000 0.0000 0.0000  2 Nb 1.95